(1)
Computed, not measured: an optimized crystal structure of ErSc5Sb6 at the GGA-PBE level of DFT.

Calculated values
Its space group is C2/m, No. 12.

Lattice parameters (Å, degrees): 7.2730 7.2671 7.2710 60.02 80.39 70.48
Closest atoms and distances in Å follow each position.
Fractional coordinates of all 12 atoms:
Sb  0.2556  0.5739  0.3406  5 Sc 2.93-2.97, 1 Er 3.03
Sc  0.0000  0.6679  0.6642  6 Sb 2.96-2.97
Sc  0.5000  0.8369  0.3263  6 Sb 2.93-2.97
Er  0.0000  0.0000  0.0000  6 Sb 3.02-3.03
Sc  0.0000  0.3321  0.3358  6 Sb 2.96-2.97
Sc  0.5000  0.1631  0.6737  6 Sb 2.93-2.97
Sb  0.7444  0.0855  0.3406  5 Sc 2.93-2.97, 1 Er 3.03
Sb  0.7481  0.7427  0.0000  5 Sc 2.91-2.96, 1 Er 3.02
Sc  0.5000  0.5000  0.0000  6 Sb 2.91-2.97
Sb  0.2556  0.9145  0.6594  5 Sc 2.93-2.97, 1 Er 3.03
Sb  0.2519  0.2573  0.0000  5 Sc 2.91-2.96, 1 Er 3.02
Sb  0.7444  0.4261  0.6594  5 Sc 2.93-2.97, 1 Er 3.03

---

(2)
Computed, not measured: an optimized crystal structure of ErScSbSe at the GGA-PBE level of DFT.

Calculated values
Its space group is R3m, No. 160.

Lattice parameters (Å, degrees): 4.0336 4.0335 7.3991 90.00 105.82 120.00
Closest atoms and distances in Å follow each position.
Fractional coordinates of all 4 atoms:
Se  0.1237  0.9598  0.0989  3 Sc 2.76, 3 Er 2.92
Sb  0.4795  0.1377  0.6323  3 Sc 2.94, 3 Er 3.06
Er  0.9582  0.3771  0.3505  3 Se 2.92, 3 Sb 3.06
Sc  0.3164  0.5562  0.8879  3 Se 2.76, 3 Sb 2.94

---

(3)
Computed, not measured: an optimized crystal structure of SmEr2ScSb4 at the GGA-PBE level of DFT.

Calculated values
Its space group is I4/mmm, No. 139.

Lattice parameters (Å, degrees): 6.1498 6.1498 7.5111 114.16 114.16 90.01
Closest atoms and distances in Å follow each position.
Fractional coordinates of all 8 atoms:
Sb  0.1948  0.1948  0.5154  1 Sc 2.97, 4 Er 3.08, 1 Sm 3.16
Sb  0.9372  0.4372  0.0000  2 Er 3.06, 2 Sm 3.07-3.08, 2 Sc 3.07-3.08
Sm  0.9371  0.9371  0.0000  6 Sb 3.07-3.16
Er  0.6872  0.1872  0.5000  6 Sb 3.06-3.08
Sc  0.4372  0.4372  0.0000  6 Sb 2.97-3.08
Er  0.1871  0.6871  0.5000  6 Sb 3.06-3.08
Sb  0.4372  0.9372  0.0000  2 Er 3.06, 2 Sm 3.07-3.08, 2 Sc 3.07-3.08
Sb  0.6795  0.6795  0.4846  1 Sc 2.97, 4 Er 3.08, 1 Sm 3.16

---

(4)
Computed, not measured: an optimized crystal structure of Sm2ErScSb4 at the GGA-PBE level of DFT.

Calculated values
Its space group is P2/m, No. 10.

Lattice parameters (Å, degrees): 4.3750 7.5724 7.5558 109.52 90.00 90.00
Closest atoms and distances in Å follow each position.
Fractional coordinates of all 8 atoms:
Sb  0.5000  0.2392  0.2338  2 Sc 3.01, 1 Er 3.06, 3 Sm 3.12-3.17
Er  0.5000  0.5000  0.0000  6 Sb 3.06
Sm  0.0000  0.5000  0.5000  6 Sb 3.17
Sb  0.0000  0.2486  0.7621  1 Sc 3.01, 2 Er 3.06, 3 Sm 3.12-3.17
Sb  0.5000  0.7608  0.7662  2 Sc 3.01, 1 Er 3.06, 3 Sm 3.12-3.17
Sm  0.5000  0.0000  0.5000  6 Sb 3.12
Sc  0.0000  0.0000  0.0000  6 Sb 3.01
Sb  0.0000  0.7514  0.2379  1 Sc 3.01, 2 Er 3.06, 3 Sm 3.12-3.17

---

Number 1: E_tot -72.46 eV for the cell shown. Number 2: E_tot -23.63 eV for the cell shown. Number 3: E_tot -45.12 eV for the cell shown. Number 4: E_tot -45.49 eV for the cell shown.